Record 1
LiPCl2 | PBE | optimized geometry

Unit cell a=3.814 b=3.814 c=8.815 alpha=90.00 beta=90.00 gamma=114.27
Atoms (fractional coordinates):
Cl (0.000, 0.000, 0.938)
Cl (0.500, 0.500, 0.335)
Li (0.000, 0.000, 0.399)
P (0.500, 0.500, 0.828)

## Properties
* uncorrected formation energy: -354 meV per atom
* volume: 29.2 Å³/atom
* excess energy over the best structure of this formula in the dataset: 305 meV per atom

***

Record 2
Ce5Si2Pd | PBE | optimized geometry

Unit cell a=6.523 b=6.524 c=6.238 alpha=121.53 beta=121.52 gamma=90.00
Atoms (fractional coordinates):
Ce (0.741, 0.212, 0.953)
Ce (0.212, 0.212, 0.953)
Ce (0.741, 0.741, 0.953)
Ce (0.212, 0.741, 0.953)
Ce (0.661, 0.661, 0.323)
Si (0.226, 0.726, 0.452)
Si (0.726, 0.226, 0.452)
Pd (0.258, 0.258, 0.517)

## Properties
* uncorrected formation energy: -424 meV per atom
* volume: 22.3 Å³/atom

***

Record 3
TbDy2GaC | PBE | optimized geometry

Unit cell a=4.890 b=4.860 c=4.860 alpha=90.00 beta=90.00 gamma=90.00
Atoms (fractional coordinates):
Tb (0.500, 0.000, 0.000)
Dy (0.000, 0.000, 0.500)
Dy (0.000, 0.500, 0.000)
Ga (0.500, 0.500, 0.500)
C (0.000, 0.000, 0.000)

## Properties
* volume: 23.1 Å³/atom
* E_form: -0.439 eV per atom

***

Record 4
Ce2PrP | PBE | optimized geometry

Unit cell a=3.786 b=3.786 c=10.156 alpha=79.26 beta=79.26 gamma=60.00
Atoms (fractional coordinates):
Pr (0.000, 0.000, 0.000)
P (0.500, 0.500, 0.500)
Ce (0.109, 0.109, 0.672)
Ce (0.891, 0.891, 0.328)

## Properties
* volume: 30.8 Å³/atom
* E_form: -0.446 eV per atom
* excess energy over the best structure of this formula in the dataset: 140 meV per atom

***

Record 5
YFe3Os | PBE | optimized geometry

Unit cell a=4.598 b=4.598 c=4.598 alpha=90.00 beta=90.00 gamma=90.00
Atoms (fractional coordinates):
Y (0.500, 0.500, 0.500)
Os (0.000, 0.000, 0.000)
Fe (0.000, 0.500, 0.000)
Fe (0.000, 0.000, 0.500)
Fe (0.500, 0.000, 0.000)

## Properties
* volume: 19.4 Å³/atom
* E_form: 0.811 eV per atom

***

Record 6
Pr3Nd2 | PBE | optimized geometry

Unit cell a=7.701 b=9.750 c=9.750 alpha=90.00 beta=90.00 gamma=90.00
Atoms (fractional coordinates):
Pr (0.250, 0.000, 0.500)
Pr (0.750, 0.000, 0.500)
Pr (0.250, 0.500, 0.000)
Pr (0.750, 0.500, 0.000)
Pr (0.000, 0.329, 0.329)
Pr (0.000, 0.671, 0.671)
Pr (0.500, 0.171, 0.829)
Pr (0.500, 0.829, 0.171)
Pr (0.000, 0.172, 0.828)
Pr (0.000, 0.828, 0.172)
Pr (0.500, 0.672, 0.672)
Pr (0.500, 0.328, 0.328)
Nd (0.249, 0.128, 0.128)
Nd (0.249, 0.872, 0.872)
Nd (0.749, 0.372, 0.628)
Nd (0.749, 0.628, 0.372)
Nd (0.251, 0.372, 0.628)
Nd (0.251, 0.628, 0.372)
Nd (0.751, 0.128, 0.128)
Nd (0.751, 0.872, 0.872)

## Properties
* volume: 36.6 Å³/atom
* E_form: 0.102 eV per atom